This record from Alexandria describes an optimized crystal structure of Pm6DyY2. The functional is GGA-PBE.

Cell and atoms, written as POSCAR:
```
Pm6DyY2
1.0
7.2272 2.8564 4.6951
3.7848 10.9607 5.5322
2.2325 4.6216 11.7781
Pm Dy Y
12 2 4
Cartesian
9.8887 12.0307 14.5278
7.0026 7.9719 9.6912
3.3558 6.4078 7.4776
6.2418 10.4666 12.3142
5.8308 3.6165 6.9899
10.5828 14.4354 19.1513
7.4136 14.8221 15.0156
2.6616 4.0032 2.8541
4.8868 9.6039 6.4666
5.8122 11.7685 8.8935
8.3576 8.8347 15.5389
7.4323 6.6701 13.1119
4.3584 6.6388 11.6679
8.8860 11.7998 10.3375
6.3941 11.6173 15.7936
2.6632 3.0508 6.1721
6.8503 6.8213 6.2118
10.5812 15.3878 15.8333
```

The value obtained for the total magnetization is 0.0 μB per cell. The calculation puts the formation enthalpy at 0 K at 0.190 eV per atom.